Here is a relaxed structure of MgIn2Au2 from Alexandria. Energies are from GGA-PBE.

Structure (CIF):
```
data_MgIn2Au2
_chemical_formula_sum 'Mg1 In2 Au2'
_cell_length_a 7.504
_cell_length_b 7.504
_cell_length_c 7.504
_cell_angle_alpha 148.39
_cell_angle_beta 148.39
_cell_angle_gamma 45.31
_space_group_name_H-M_alt 'P 1'
_space_group_IT_number 1
loop_
_space_group_symop_operation_xyz
'x,y,z'
loop_
_atom_site_label
_atom_site_type_symbol
_atom_site_fract_x
_atom_site_fract_y
_atom_site_fract_z
Mg1 Mg 0.000 0.000 0.000
In1 In 0.395 0.395 0.000
In2 In 0.605 0.605 0.000
Au1 Au 0.250 0.750 0.500
Au2 Au 0.750 0.250 0.500
```

Calculated values
The calculation puts the electronic total energy at -13.78 eV for the cell shown. Its spin magnetization is 0.00 μB per formula unit. The formation energy from the elements is -0.031 eV per atom.

---

Here is a relaxed structure of Mg7InAu4 from Alexandria. Energies are from GGA-PBE.

Structure (CIF):
```
data_Mg7InAu4
_chemical_formula_sum 'Mg7 In1 Au4'
_cell_length_a 6.945
_cell_length_b 6.945
_cell_length_c 9.704
_cell_angle_alpha 123.00
_cell_angle_beta 123.00
_cell_angle_gamma 42.72
_space_group_name_H-M_alt 'P 1'
_space_group_IT_number 1
loop_
_space_group_symop_operation_xyz
'x,y,z'
loop_
_atom_site_label
_atom_site_type_symbol
_atom_site_fract_x
_atom_site_fract_y
_atom_site_fract_z
Mg1 Mg 0.000 0.000 0.000
Mg2 Mg 0.168 0.168 0.602
Mg3 Mg 0.282 0.282 0.125
Mg4 Mg 0.432 0.432 0.644
Mg5 Mg 0.568 0.568 0.356
Mg6 Mg 0.718 0.718 0.875
Mg7 Mg 0.832 0.832 0.398
In1 In 0.500 0.500 0.000
Au1 Au 0.069 0.069 0.777
Au2 Au 0.204 0.204 0.340
Au3 Au 0.796 0.796 0.660
Au4 Au 0.931 0.931 0.223
```

Calculated values
The calculation puts the electronic total energy at -30.73 eV for the cell shown. Its spin magnetization is 0.00 μB per formula unit. The formation energy from the elements is -0.310 eV per atom.

---

Here is a relaxed structure of MgInAu14 from Alexandria. Energies are from GGA-PBE.

Structure (CIF):
```
data_MgInAu14
_chemical_formula_sum 'Mg1 In1 Au14'
_cell_length_a 9.511
_cell_length_b 5.764
_cell_length_c 5.764
_cell_angle_alpha 68.23
_cell_angle_beta 90.00
_cell_angle_gamma 90.00
_space_group_name_H-M_alt 'P 1'
_space_group_IT_number 1
loop_
_space_group_symop_operation_xyz
'x,y,z'
loop_
_atom_site_label
_atom_site_type_symbol
_atom_site_fract_x
_atom_site_fract_y
_atom_site_fract_z
Mg1 Mg 0.000 0.000 0.000
In1 In 0.000 0.496 0.496
Au1 Au 0.000 0.504 0.996
Au2 Au 0.000 0.996 0.504
Au3 Au 0.245 0.187 0.187
Au4 Au 0.247 0.181 0.693
Au5 Au 0.247 0.693 0.181
Au6 Au 0.252 0.685 0.685
Au7 Au 0.500 0.002 0.002
Au8 Au 0.500 0.008 0.499
Au9 Au 0.500 0.499 0.008
Au10 Au 0.500 0.504 0.504
Au11 Au 0.748 0.685 0.685
Au12 Au 0.753 0.181 0.693
Au13 Au 0.753 0.693 0.181
Au14 Au 0.755 0.187 0.187
```

Calculated values
The calculation puts the electronic total energy at -51.73 eV for the cell shown. Its spin magnetization is 0.00 μB per formula unit. The formation energy from the elements is -0.094 eV per atom.

---

Here is a relaxed structure of Mg7InAu2 from Alexandria. Energies are from GGA-PBE.

Structure (CIF):
```
data_Mg7InAu2
_chemical_formula_sum 'Mg7 In1 Au2'
_cell_length_a 11.187
_cell_length_b 11.187
_cell_length_c 11.187
_cell_angle_alpha 156.48
_cell_angle_beta 156.48
_cell_angle_gamma 33.51
_space_group_name_H-M_alt 'P 1'
_space_group_IT_number 1
loop_
_space_group_symop_operation_xyz
'x,y,z'
loop_
_atom_site_label
_atom_site_type_symbol
_atom_site_fract_x
_atom_site_fract_y
_atom_site_fract_z
Mg1 Mg 0.000 0.000 0.000
Mg2 Mg 0.102 0.602 0.500
Mg3 Mg 0.250 0.750 0.500
Mg4 Mg 0.398 0.898 0.500
Mg5 Mg 0.602 0.102 0.500
Mg6 Mg 0.750 0.250 0.500
Mg7 Mg 0.898 0.398 0.500
In1 In 0.500 0.500 0.000
Au1 Au 0.173 0.173 0.000
Au2 Au 0.827 0.827 0.000
```

Calculated values
The calculation puts the electronic total energy at -23.66 eV for the cell shown. Its spin magnetization is 0.00 μB per formula unit. The formation energy from the elements is -0.320 eV per atom.

---

Here is a relaxed structure of MgIn2Au from Alexandria. Energies are from GGA-PBE.

Structure (CIF):
```
data_MgIn2Au
_chemical_formula_sum 'Mg1 In2 Au1'
_cell_length_a 3.450
_cell_length_b 4.311
_cell_length_c 5.984
_cell_angle_alpha 90.00
_cell_angle_beta 90.00
_cell_angle_gamma 90.00
_space_group_name_H-M_alt 'P 1'
_space_group_IT_number 1
loop_
_space_group_symop_operation_xyz
'x,y,z'
loop_
_atom_site_label
_atom_site_type_symbol
_atom_site_fract_x
_atom_site_fract_y
_atom_site_fract_z
Mg1 Mg 0.000 0.000 0.000
In1 In 0.500 0.500 0.257
In2 In 0.500 0.500 0.743
Au1 Au 0.000 0.000 0.500
```

Calculated values
The calculation puts the electronic total energy at -10.78 eV for the cell shown. Its spin magnetization is 0.00 μB per formula unit. The formation energy from the elements is -0.108 eV per atom.

---

Here is a relaxed structure of Mg6In2Au from Alexandria. Energies are from GGA-PBE.

Structure (CIF):
```
data_Mg6In2Au
_chemical_formula_sum 'Mg6 In2 Au1'
_cell_length_a 8.107
_cell_length_b 8.107
_cell_length_c 3.484
_cell_angle_alpha 90.00
_cell_angle_beta 90.00
_cell_angle_gamma 120.00
_space_group_name_H-M_alt 'P 1'
_space_group_IT_number 1
loop_
_space_group_symop_operation_xyz
'x,y,z'
loop_
_atom_site_label
_atom_site_type_symbol
_atom_site_fract_x
_atom_site_fract_y
_atom_site_fract_z
Mg1 Mg 0.000 0.366 0.000
Mg2 Mg 0.000 0.736 0.500
Mg3 Mg 0.264 0.264 0.500
Mg4 Mg 0.366 0.000 0.000
Mg5 Mg 0.634 0.634 0.000
Mg6 Mg 0.736 0.000 0.500
In1 In 0.333 0.667 0.500
In2 In 0.667 0.333 0.500
Au1 Au 0.000 0.000 0.000
```

Calculated values
The calculation puts the electronic total energy at -20.44 eV for the cell shown. Its spin magnetization is 0.00 μB per formula unit. The formation energy from the elements is -0.236 eV per atom.